Below is KTa2 after structural relaxation, with properties calculated at the PBE level.

Cell and atoms, written as extended XYZ:
```
12
Lattice="6.6935 0.0000 0.0000 0.0000 4.7498 0.0000 0.0000 0.0000 9.5156" Properties=species:S:1:pos:R:3 pbc="T T T"
K 0.5929 1.1875 0.6860
K 2.7538 3.5624 5.4438
K 3.9396 1.1875 4.0718
K 6.1006 3.5624 8.8296
Ta 0.4928 1.1875 4.0589
Ta 0.5044 1.1875 6.5947
Ta 2.8423 3.5624 1.8369
Ta 2.8539 3.5624 8.8166
Ta 3.8395 1.1875 0.6989
Ta 3.8511 1.1875 7.6786
Ta 6.1891 3.5624 2.9209
Ta 6.2006 3.5624 5.4567
```

Output
Calculated formation energy   1451 meV per atom
ΔE to the lowest computed polymorph   903 meV per atom
SG   No. 62

Below is Ir4Rh after structural relaxation, with properties calculated at the PBE level.

Cell and atoms, written as extended XYZ:
```
5
Lattice="4.6252 0.0000 0.0000 0.0000 4.6252 0.0000 0.0000 0.0000 4.6252" Properties=species:S:1:pos:R:3 pbc="T T T"
Ir 0.0000 0.0000 0.0000
Ir 0.0000 2.3126 2.3126
Ir 2.3126 0.0000 2.3126
Ir 2.3126 2.3126 0.0000
Rh 2.3126 2.3126 2.3126
```

Output
Calculated formation energy   2362 meV per atom
ΔE to the lowest computed polymorph   2374 meV per atom
SG   No. 221